<i>
CdFeIN2 | the Alexandria database | GGA-PBE | relaxed; ρ = 2.056 Mg/m³; space-group type = P4/mmm
1.0
6.002 0.000 0.000
0.000 6.002 0.000
0.000 0.000 7.244
Cd Fe I N
1 1 1 2
Cartesian
0.000 0.000 0.000
3.001 3.001 3.622
0.000 0.000 3.622
0.000 3.001 0.000
3.001 0.000 0.000

---

<ii>
CdFeIN2 | the Alexandria database | GGA-PBE | relaxed; ρ = 6.335 Mg/m³; space-group type = P4/mmm
1.0
3.838 0.000 0.000
0.000 3.838 0.000
0.000 0.000 5.749
Cd Fe I N
1 1 1 2
Cartesian
0.000 0.000 0.000
1.919 1.919 2.875
1.919 1.919 0.000
0.000 1.919 2.875
1.919 0.000 2.875

---

<ii> has the most favorable energy; the next structure is 172.8 kJ/mol of atoms above.